! ReSnTe2N PBE-GGA relaxed; values from VASP
! ΔE to the lowest computed polymorph ... 0 meV/atom
! Formation energy from raw total energies ... 0.235 eV per atom
! Space group ... P4/mmm (123)
&SYSTEM
  ibrav = 0, nat = 5, ntyp = 4
/
ATOMIC_SPECIES
Te 127.60 Te.upf
Re 186.21 Re.upf
Sn 118.71 Sn.upf
N 14.01 N.upf
CELL_PARAMETERS angstrom
5.552 0.000 0.000
0.000 5.552 0.000
0.000 0.000 3.762
ATOMIC_POSITIONS crystal
Te 0.000 0.500 0.000
Te 0.500 0.000 0.000
Re 0.000 0.000 0.000
Sn 0.500 0.500 0.500
N 0.000 0.000 0.500



! Nb3ZnF PBE-GGA relaxed; values from VASP
! ΔE to the lowest computed polymorph ... 0 meV/atom
! Formation energy from raw total energies ... -0.008 eV per atom
! Space group ... Pm-3m (221)
&SYSTEM
  ibrav = 0, nat = 5, ntyp = 3
/
ATOMIC_SPECIES
Nb 92.91 Nb.upf
F 19.00 F.upf
Zn 65.41 Zn.upf
CELL_PARAMETERS angstrom
-1.511 4.002 -0.503
-3.390 -1.551 -2.158
-2.186 -0.361 3.694
ATOMIC_POSITIONS crystal
Nb 0.000 0.000 0.500
Nb 0.500 0.000 0.000
Nb 0.000 0.500 0.000
F 0.000 0.000 0.000
Zn 0.500 0.500 0.500



! Ba3AsO PBE-GGA relaxed; values from VASP
! ΔE to the lowest computed polymorph ... 0 meV/atom
! Formation energy from raw total energies ... -1.433 eV per atom
! Space group ... C2/c (15)
&SYSTEM
  ibrav = 0, nat = 20, ntyp = 3
/
ATOMIC_SPECIES
O 16.00 O.upf
As 74.92 As.upf
Ba 137.33 Ba.upf
CELL_PARAMETERS angstrom
8.503 0.418 0.328
1.569 9.651 -0.175
1.569 2.135 9.413
ATOMIC_POSITIONS crystal
O 0.086 0.364 0.128
O 0.914 0.636 0.872
O 0.414 0.872 0.636
O 0.586 0.128 0.364
As 0.750 0.653 0.347
As 0.250 0.922 0.078
As 0.750 0.078 0.922
As 0.250 0.347 0.653
Ba 0.415 0.936 0.363
Ba 0.637 0.766 0.004
Ba 0.585 0.064 0.637
Ba 0.137 0.004 0.766
Ba 0.988 0.665 0.611
Ba 0.512 0.389 0.335
Ba 0.915 0.363 0.936
Ba 0.863 0.996 0.234
Ba 0.012 0.335 0.389
Ba 0.488 0.611 0.665
Ba 0.363 0.234 0.996
Ba 0.085 0.637 0.064



! Mg4ZnPt PBE-GGA relaxed; values from VASP
! ΔE to the lowest computed polymorph ... 114 meV/atom
! Space group ... P4/mmm (123)
! Energy of formation from the pure elements ... -0.296 eV per atom
&SYSTEM
  ibrav = 0, nat = 6, ntyp = 3
/
ATOMIC_SPECIES
Mg 24.30 Mg.upf
Zn 65.41 Zn.upf
Pt 195.08 Pt.upf
CELL_PARAMETERS angstrom
-3.209 -2.616 -1.729
1.190 -3.305 2.792
-4.184 2.217 4.414
ATOMIC_POSITIONS crystal
Mg 0.501 0.997 0.734
Mg 0.501 0.997 0.262
Mg 0.001 0.497 0.262
Mg 0.001 0.497 0.734
Zn 0.501 0.498 0.998
Pt 0.001 0.997 0.498



! Sc4Be3 PBE-GGA relaxed; values from VASP
! ΔE to the lowest computed polymorph ... 62 meV/atom
! Space group ... P6/mmm (191)
! Energy of formation from the pure elements ... 0.153 eV per atom
&SYSTEM
  ibrav = 0, nat = 7, ntyp = 2
/
ATOMIC_SPECIES
Sc 44.96 Sc.upf
Be 9.01 Be.upf
CELL_PARAMETERS angstrom
2.464 -4.268 0.000
2.464 4.268 0.000
0.000 0.000 5.710
ATOMIC_POSITIONS crystal
Sc 0.000 0.000 0.238
Sc 0.000 0.000 0.762
Sc 0.333 0.667 0.500
Sc 0.667 0.333 0.500
Be 0.000 0.500 0.000
Be 0.500 0.000 0.000
Be 0.500 0.500 0.000



! PaFeSe4 PBE-GGA relaxed; values from VASP
! Formation energy from raw total energies ... -0.698 eV per atom
! Space group ... I4_1md (109)
&SYSTEM
  ibrav = 0, nat = 12, ntyp = 3
/
ATOMIC_SPECIES
Se 78.96 Se.upf
Fe 55.84 Fe.upf
Pa 231.04 Pa.upf
CELL_PARAMETERS angstrom
-2.179 -1.884 -6.950
-2.160 -4.067 5.949
-3.141 6.740 1.145
ATOMIC_POSITIONS crystal
Se 0.222 0.915 0.693
Se 0.665 0.472 0.193
Se 0.778 0.083 0.305
Se 0.833 0.028 0.805
Se 0.279 0.472 0.807
Se 0.222 0.529 0.307
Se 0.222 0.028 0.195
Se 0.778 0.472 0.695
Fe 0.254 0.254 0.000
Fe 0.004 0.504 0.500
Pa 0.497 0.997 0.500
Pa 0.747 0.747 0.000



! LiAl2Te PBE-GGA relaxed; values from VASP
! Formation energy from raw total energies ... 0.002 eV per atom
! Space group ... P4mm (99)
&SYSTEM
  ibrav = 0, nat = 4, ntyp = 3
/
ATOMIC_SPECIES
Al 26.98 Al.upf
Li 6.94 Li.upf
Te 127.60 Te.upf
CELL_PARAMETERS angstrom
3.218 0.018 0.000
-0.018 3.218 0.000
0.000 0.000 8.044
ATOMIC_POSITIONS crystal
Al 0.000 0.000 0.041
Al 0.500 0.500 0.242
Li 0.000 0.000 0.485
Te 0.500 0.500 0.732



! PuTiRu2 PBE-GGA relaxed; values from VASP
! Space group ... P4/mmm (123)
! Energy of formation from the pure elements ... -0.362 eV per atom
&SYSTEM
  ibrav = 0, nat = 4, ntyp = 3
/
ATOMIC_SPECIES
Ru 101.07 Ru.upf
Ti 47.87 Ti.upf
Pu 244.00 Pu.upf
CELL_PARAMETERS angstrom
3.115 0.000 0.000
0.000 3.115 0.000
0.000 0.000 6.929
ATOMIC_POSITIONS crystal
Ru 0.000 0.000 0.783
Ru 0.000 0.000 0.217
Ti 0.500 0.500 0.000
Pu 0.500 0.500 0.500



! PmCuAsH PBE-GGA relaxed; values from VASP
! Space group ... P4/nmm (129)
&SYSTEM
  ibrav = 0, nat = 8, ntyp = 4
/
ATOMIC_SPECIES
As 74.92 As.upf
H 1.01 H.upf
Cu 63.55 Cu.upf
Pm 145.00 Pm.upf
CELL_PARAMETERS angstrom
3.986 0.000 0.000
0.000 3.986 0.000
0.000 0.000 7.905
ATOMIC_POSITIONS crystal
As 0.500 0.000 0.194
As 0.000 0.500 0.806
H 0.500 0.500 0.500
H 0.000 0.000 0.500
Cu 0.000 0.000 0.000
Cu 0.500 0.500 0.000
Pm 0.500 0.000 0.670
Pm 0.000 0.500 0.330



! ZrTiOs2F PBE-GGA relaxed; values from VASP
! Formation energy from raw total energies ... 1.917 eV per atom
! Space group ... P4/mmm (123)
&SYSTEM
  ibrav = 0, nat = 5, ntyp = 4
/
ATOMIC_SPECIES
F 19.00 F.upf
Zr 91.22 Zr.upf
Ti 47.87 Ti.upf
Os 190.23 Os.upf
CELL_PARAMETERS angstrom
4.821 0.000 0.000
0.000 5.190 0.000
0.000 0.000 4.821
ATOMIC_POSITIONS crystal
F 0.500 0.500 0.500
Zr 0.000 0.000 0.000
Ti 0.000 0.500 0.000
Os 0.000 0.000 0.500
Os 0.500 0.000 0.000



! Pu2Sn5Rh3 PBE-GGA relaxed; values from VASP
! Space group ... Cmc2_1 (36)
! Energy of formation from the pure elements ... -0.532 eV per atom
&SYSTEM
  ibrav = 0, nat = 20, ntyp = 3
/
ATOMIC_SPECIES
Sn 118.71 Sn.upf
Rh 102.91 Rh.upf
Pu 244.00 Pu.upf
CELL_PARAMETERS angstrom
0.241 2.124 -3.962
-1.245 -6.208 -3.404
-13.215 1.306 2.454
ATOMIC_POSITIONS crystal
Sn 0.122 0.259 0.245
Sn 0.291 0.498 0.582
Sn 0.878 0.759 0.755
Sn 0.596 0.890 0.193
Sn 0.707 0.426 0.414
Sn 0.048 0.603 0.096
Sn 0.709 0.998 0.418
Sn 0.404 0.390 0.807
Sn 0.293 0.926 0.586
Sn 0.952 0.103 0.904
Rh 0.950 0.489 0.900
Rh 0.394 0.007 0.789
Rh 0.050 0.989 0.100
Rh 0.223 0.211 0.446
Rh 0.606 0.507 0.211
Rh 0.777 0.711 0.554
Pu 0.476 0.769 0.951
Pu 0.830 0.215 0.660
Pu 0.170 0.715 0.340
Pu 0.524 0.269 0.049



! CaLa3Tc PBE-GGA relaxed; values from VASP
! ΔE to the lowest computed polymorph ... 183 meV/atom
! Space group ... Pnma (62)
! Energy of formation from the pure elements ... 0.167 eV per atom
&SYSTEM
  ibrav = 0, nat = 20, ntyp = 3
/
ATOMIC_SPECIES
Tc 98.00 Tc.upf
La 138.91 La.upf
Ca 40.08 Ca.upf
CELL_PARAMETERS angstrom
7.007 0.000 0.000
0.000 9.078 0.000
0.000 0.000 10.591
ATOMIC_POSITIONS crystal
Tc 0.127 0.250 0.950
Tc 0.373 0.750 0.450
Tc 0.873 0.750 0.050
Tc 0.627 0.250 0.550
La 0.475 0.430 0.353
La 0.975 0.070 0.147
La 0.749 0.750 0.288
La 0.025 0.930 0.853
La 0.525 0.570 0.647
La 0.975 0.430 0.147
La 0.525 0.930 0.647
La 0.249 0.750 0.212
La 0.251 0.250 0.712
La 0.475 0.070 0.353
La 0.751 0.250 0.788
La 0.025 0.570 0.853
Ca 0.500 0.500 0.000
Ca 0.000 0.000 0.500
Ca 0.000 0.500 0.500
Ca 0.500 0.000 0.000



! Y2Ni4Ge3Sb PBE-GGA relaxed; values from VASP
! Formation energy from raw total energies ... -0.632 eV per atom
! Space group ... P-4m2 (115)
&SYSTEM
  ibrav = 0, nat = 10, ntyp = 4
/
ATOMIC_SPECIES
Y 88.91 Y.upf
Ni 58.69 Ni.upf
Ge 72.64 Ge.upf
Sb 121.76 Sb.upf
CELL_PARAMETERS angstrom
-1.773 -1.806 -3.317
0.056 -3.677 1.971
-8.878 1.864 3.731
ATOMIC_POSITIONS crystal
Y 0.000 0.500 0.767
Y 0.500 0.000 0.233
Ni 0.500 0.500 0.000
Ni 0.000 0.000 0.000
Ni 0.000 0.500 0.362
Ni 0.500 0.000 0.638
Ge 0.500 0.000 0.877
Ge 0.000 0.000 0.500
Ge 0.000 0.500 0.123
Sb 0.500 0.500 0.500



! LaMgSi3 PBE-GGA relaxed; values from VASP
! ΔE to the lowest computed polymorph ... 730 meV/atom
! Formation energy from raw total energies ... 0.341 eV per atom
! Space group ... Pm-3m (221)
&SYSTEM
  ibrav = 0, nat = 5, ntyp = 3
/
ATOMIC_SPECIES
La 138.91 La.upf
Si 28.09 Si.upf
Mg 24.30 Mg.upf
CELL_PARAMETERS angstrom
-2.051 -3.003 3.245
4.013 0.237 2.756
-1.856 3.832 2.373
ATOMIC_POSITIONS crystal
La 0.500 0.500 0.500
Si 0.000 0.500 0.000
Si 0.000 0.000 0.500
Si 0.500 0.000 0.000
Mg 0.000 0.000 0.000



! InSi2CI PBE-GGA relaxed; values from VASP
! Formation energy from raw total energies ... 2.304 eV per atom
! Space group ... P4/mmm (123)
&SYSTEM
  ibrav = 0, nat = 5, ntyp = 4
/
ATOMIC_SPECIES
I 126.90 I.upf
In 114.82 In.upf
C 12.01 C.upf
Si 28.09 Si.upf
CELL_PARAMETERS angstrom
5.272 0.000 0.000
0.000 6.007 0.000
0.000 0.000 5.272
ATOMIC_POSITIONS crystal
I 0.000 0.500 0.000
In 0.000 0.000 0.000
C 0.500 0.500 0.500
Si 0.500 0.000 0.000
Si 0.000 0.000 0.500



! KSiNi2 PBE-GGA relaxed; values from VASP
! Formation energy from raw total energies ... 0.866 eV per atom
! Space group ... Pmmm (47)
&SYSTEM
  ibrav = 0, nat = 4, ntyp = 3
/
ATOMIC_SPECIES
Ni 58.69 Ni.upf
K 39.10 K.upf
Si 28.09 Si.upf
CELL_PARAMETERS angstrom
2.768 0.000 0.000
0.000 5.339 0.000
0.000 0.000 4.315
ATOMIC_POSITIONS crystal
Ni 0.500 0.500 0.000
Ni 0.000 0.000 0.000
K 0.000 0.500 0.500
Si 0.500 0.000 0.500



! SrLiFeC2 PBE-GGA relaxed; values from VASP
! Space group ... P4/mmm (123)
! Energy of formation from the pure elements ... 1.336 eV per atom
&SYSTEM
  ibrav = 0, nat = 5, ntyp = 4
/
ATOMIC_SPECIES
Li 6.94 Li.upf
C 12.01 C.upf
Sr 87.62 Sr.upf
Fe 55.84 Fe.upf
CELL_PARAMETERS angstrom
-2.557 -0.471 2.838
3.836 -0.110 3.438
-0.253 3.820 0.405
ATOMIC_POSITIONS crystal
Li 0.500 0.500 0.500
C 0.000 0.000 0.500
C 0.500 0.000 0.000
Sr 0.000 0.500 0.000
Fe 0.000 0.000 0.000



! InSbRu2 PBE-GGA relaxed; values from VASP
! Formation energy from raw total energies ... 0.170 eV per atom
! Space group ... R-3m (166)
&SYSTEM
  ibrav = 0, nat = 4, ntyp = 3
/
ATOMIC_SPECIES
In 114.82 In.upf
Sb 121.76 Sb.upf
Ru 101.07 Ru.upf
CELL_PARAMETERS angstrom
8.384 -0.031 -0.018
7.793 3.091 -0.018
7.793 1.474 2.717
ATOMIC_POSITIONS crystal
In 0.750 0.750 0.750
Sb 0.250 0.250 0.250
Ru 0.996 0.996 0.996
Ru 0.504 0.504 0.504



! InMoSeBr2 PBE-GGA relaxed; values from VASP
! ΔE to the lowest computed polymorph ... 0 meV/atom
! Formation energy from raw total energies ... -0.149 eV per atom
! Space group ... P4/mmm (123)
&SYSTEM
  ibrav = 0, nat = 5, ntyp = 4
/
ATOMIC_SPECIES
Br 79.90 Br.upf
Mo 95.94 Mo.upf
In 114.82 In.upf
Se 78.96 Se.upf
CELL_PARAMETERS angstrom
5.343 0.000 0.000
0.000 5.343 0.000
0.000 0.000 4.954
ATOMIC_POSITIONS crystal
Br 0.500 0.000 0.000
Br 0.000 0.500 0.000
Mo 0.000 0.000 0.000
In 0.500 0.500 0.500
Se 0.000 0.000 0.500



! MgBePt PBE-GGA relaxed; values from VASP
! ΔE to the lowest computed polymorph ... 260 meV/atom
! Space group ... F-43m (216)
! Energy of formation from the pure elements ... -0.409 eV per atom
&SYSTEM
  ibrav = 0, nat = 3, ntyp = 3
/
ATOMIC_SPECIES
Pt 195.08 Pt.upf
Mg 24.30 Mg.upf
Be 9.01 Be.upf
CELL_PARAMETERS angstrom
3.981 0.000 0.000
1.990 3.447 0.000
1.990 1.149 3.250
ATOMIC_POSITIONS crystal
Pt 0.500 0.500 0.500
Mg 0.000 0.000 0.000
Be 0.750 0.750 0.750



The VASP energy results, record by record, are as follows: -29.88; -33.40; -90.16; -15.47; -35.43; -72.17; -12.53; -42.23; -39.85; -31.19; -152.11; -105.25; -60.34; -21.09; -12.84; -14.62; -23.82; -24.73; -21.14; -12.59 eV for the cell shown.